Record 1
## Ac4SmBi5 (PBE)

Data for a relaxed Ac4SmBi5 crystal.

```
data_Ac4SmBi5
_symmetry_space_group_name_H-M 'P 1'
_symmetry_Int_Tables_number 1
_cell_length_a 6.8285
_cell_length_b 8.3479
_cell_length_c 8.3474
_cell_angle_alpha 80.37
_cell_angle_beta 65.87
_cell_angle_gamma 65.85
loop_
_symmetry_equiv_pos_as_xyz
'x,y,z'
loop_
_atom_site_label
_atom_site_type_symbol
_atom_site_fract_x
_atom_site_fract_y
_atom_site_fract_z
Ac1 Ac 0.4040 0.3969 0.7968
Ac2 Ac 0.8010 0.7968 0.6031
Ac3 Ac 0.2008 0.2032 0.3969
Ac4 Ac 0.5978 0.6031 0.2032
Bi1 Bi 0.0985 0.6119 0.1932
Bi2 Bi 0.9036 0.3881 0.8068
Bi3 Bi 0.7104 0.1932 0.3881
Bi4 Bi 0.5013 0.0000 0.0000
Bi5 Bi 0.2917 0.8068 0.6119
Sm1 Sm 0.0013 0.0000 0.0000
```

## Properties
The calculation puts the final energy at -5.029 eV/atom. The value obtained for the density of states at the Fermi level is 0.054 states/eV/atom. For the total moment, the calculation gives 0.0 μB per formula unit. Its energy of formation from the pure elements is -0.97 eV per atom.

Record 2
## AcSmBi (PBE)

Data for a relaxed AcSmBi crystal.

```
data_AcSmBi
_symmetry_space_group_name_H-M 'P 1'
_symmetry_Int_Tables_number 1
_cell_length_a 3.5677
_cell_length_b 3.5677
_cell_length_c 9.7590
_cell_angle_alpha 100.53
_cell_angle_beta 100.53
_cell_angle_gamma 90.00
loop_
_symmetry_equiv_pos_as_xyz
'x,y,z'
loop_
_atom_site_label
_atom_site_type_symbol
_atom_site_fract_x
_atom_site_fract_y
_atom_site_fract_z
Ac1 Ac 0.7619 0.7619 0.5238
Sm1 Sm 0.9601 0.9601 0.9203
Bi1 Bi 0.1280 0.1280 0.2559
```

## Properties
The calculation puts the final energy at -4.072 eV/atom. The value obtained for the density of states at the Fermi level is 1.758 states/eV/atom. The relative energy among the computed polymorphs comes out at 78.3 kJ per mole of atoms. For the total moment, the calculation gives 0.1 μB per formula unit. Its energy of formation from the pure elements is 0.16 eV per atom.

Record 3
## AcSm3Bi4 (PBE)

Data for a relaxed AcSm3Bi4 crystal.

```
data_AcSm3Bi4
_symmetry_space_group_name_H-M 'P 1'
_symmetry_Int_Tables_number 1
_cell_length_a 4.6451
_cell_length_b 8.0422
_cell_length_c 8.0422
_cell_angle_alpha 70.58
_cell_angle_beta 90.00
_cell_angle_gamma 90.00
loop_
_symmetry_equiv_pos_as_xyz
'x,y,z'
loop_
_atom_site_label
_atom_site_type_symbol
_atom_site_fract_x
_atom_site_fract_y
_atom_site_fract_z
Sm1 Sm 0.5000 0.0001 0.4999
Sm2 Sm 0.0000 0.5001 0.5000
Sm3 Sm 0.9999 0.0001 0.0000
Bi1 Bi 0.0000 0.2384 0.2617
Bi2 Bi 0.0000 0.7619 0.7382
Bi3 Bi 0.5001 0.7559 0.2558
Bi4 Bi 0.4997 0.2443 0.7442
Ac1 Ac 0.5000 0.5002 0.9999
```

## Properties
The calculation puts the final energy at -5.150 eV/atom. The value obtained for the density of states at the Fermi level is 0.132 states/eV/atom. For the total moment, the calculation gives 0.0 μB per formula unit. Its energy of formation from the pure elements is -0.93 eV per atom.

Record 4
## Ac5Sm3Bi8 (PBE)

Data for a relaxed Ac5Sm3Bi8 crystal.

```
data_Ac5Sm3Bi8
_symmetry_space_group_name_H-M 'P 1'
_symmetry_Int_Tables_number 1
_cell_length_a 9.5304
_cell_length_b 9.5304
_cell_length_c 9.5240
_cell_angle_alpha 59.98
_cell_angle_beta 59.98
_cell_angle_gamma 60.00
loop_
_symmetry_equiv_pos_as_xyz
'x,y,z'
loop_
_atom_site_label
_atom_site_type_symbol
_atom_site_fract_x
_atom_site_fract_y
_atom_site_fract_z
Bi1 Bi 0.7620 0.2500 0.7380
Bi2 Bi 0.7500 0.7500 0.2620
Bi3 Bi 0.2500 0.2500 0.7380
Bi4 Bi 0.7500 0.2380 0.2620
Bi5 Bi 0.7557 0.7557 0.7329
Bi6 Bi 0.2443 0.2443 0.2671
Bi7 Bi 0.2380 0.7500 0.2620
Bi8 Bi 0.2500 0.7620 0.7380
Ac1 Ac 0.5000 0.5000 0.5000
Ac2 Ac 0.5000 0.0000 0.0000
Ac3 Ac 0.0000 0.0000 0.0000
Ac4 Ac 0.0000 0.5000 0.0000
Ac5 Ac 0.5000 0.5000 0.0000
Sm1 Sm 0.0000 0.0000 0.5000
Sm2 Sm 0.5000 0.0000 0.5000
Sm3 Sm 0.0000 0.5000 0.5000
```

## Properties
The calculation puts the final energy at -5.065 eV/atom. The value obtained for the density of states at the Fermi level is 0.181 states/eV/atom. For the total moment, the calculation gives 0.0 μB per formula unit. Its energy of formation from the pure elements is -0.96 eV per atom.

Record 5
## AcSmBi (PBE)

Data for a relaxed AcSmBi crystal.

```
data_AcSmBi
_symmetry_space_group_name_H-M 'P 1'
_symmetry_Int_Tables_number 1
_cell_length_a 4.8157
_cell_length_b 4.8155
_cell_length_c 9.2254
_cell_angle_alpha 90.00
_cell_angle_beta 90.02
_cell_angle_gamma 90.00
loop_
_symmetry_equiv_pos_as_xyz
'x,y,z'
loop_
_atom_site_label
_atom_site_type_symbol
_atom_site_fract_x
_atom_site_fract_y
_atom_site_fract_z
Sm1 Sm 0.7498 0.7500 0.6434
Sm2 Sm 0.2502 0.2500 0.3566
Bi1 Bi 0.7502 0.7500 0.2948
Bi2 Bi 0.2498 0.2500 0.7052
Ac1 Ac 0.2500 0.7500 0.0001
Ac2 Ac 0.7500 0.2500 0.9999
```

## Properties
The calculation puts the final energy at -4.724 eV/atom. The value obtained for the density of states at the Fermi level is 0.985 states/eV/atom. The relative energy among the computed polymorphs comes out at 15.5 kJ per mole of atoms. For the total moment, the calculation gives 0.0 μB per formula unit. Its energy of formation from the pure elements is -0.49 eV per atom.

Record 6
## AcSm2Bi3 (PBE)

Data for a relaxed AcSm2Bi3 crystal.

```
data_AcSm2Bi3
_symmetry_space_group_name_H-M 'P 1'
_symmetry_Int_Tables_number 1
_cell_length_a 4.6314
_cell_length_b 7.9887
_cell_length_c 11.9900
_cell_angle_alpha 102.89
_cell_angle_beta 90.00
_cell_angle_gamma 90.00
loop_
_symmetry_equiv_pos_as_xyz
'x,y,z'
loop_
_atom_site_label
_atom_site_type_symbol
_atom_site_fract_x
_atom_site_fract_y
_atom_site_fract_z
Sm1 Sm 0.7500 0.2491 0.5043
Sm2 Sm 0.2500 0.9781 0.1763
Sm3 Sm 0.2500 0.7509 0.4957
Sm4 Sm 0.7500 0.0219 0.8237
Bi1 Bi 0.7500 0.6422 0.6515
Bi2 Bi 0.2500 0.1295 0.6588
Bi3 Bi 0.2500 0.2277 0.9923
Bi4 Bi 0.7500 0.7723 0.0077
Bi5 Bi 0.7500 0.8705 0.3412
Bi6 Bi 0.2500 0.3578 0.3485
Ac1 Ac 0.2500 0.5334 0.8314
Ac2 Ac 0.7500 0.4666 0.1686
```

## Properties
The calculation puts the final energy at -5.067 eV/atom. The value obtained for the density of states at the Fermi level is 0.215 states/eV/atom. For the total moment, the calculation gives 0.0 μB per formula unit. Its energy of formation from the pure elements is -0.87 eV per atom.

Record 7
## AcSm3Bi2 (PBE)

Data for a relaxed AcSm3Bi2 crystal.

```
data_AcSm3Bi2
_symmetry_space_group_name_H-M 'P 1'
_symmetry_Int_Tables_number 1
_cell_length_a 4.5896
_cell_length_b 11.0339
_cell_length_c 10.1240
_cell_angle_alpha 123.60
_cell_angle_beta 90.00
_cell_angle_gamma 102.00
loop_
_symmetry_equiv_pos_as_xyz
'x,y,z'
loop_
_atom_site_label
_atom_site_type_symbol
_atom_site_fract_x
_atom_site_fract_y
_atom_site_fract_z
Ac1 Ac 0.8861 0.7722 0.9004
Ac2 Ac 0.1139 0.2278 0.0996
Sm1 Sm 0.9410 0.8820 0.5539
Sm2 Sm 0.3599 0.7198 0.1948
Sm3 Sm 0.6885 0.3770 0.4887
Sm4 Sm 0.3115 0.6230 0.5113
Sm5 Sm 0.0590 0.1180 0.4461
Sm6 Sm 0.6401 0.2802 0.8052
Bi1 Bi 0.7576 0.5153 0.2219
Bi2 Bi 0.2424 0.4847 0.7781
Bi3 Bi 0.4870 0.9741 0.8136
Bi4 Bi 0.5130 0.0259 0.1864
```

## Properties
The calculation puts the final energy at -4.875 eV/atom. The value obtained for the density of states at the Fermi level is 1.171 states/eV/atom. For the total moment, the calculation gives 0.4 μB per formula unit. Its energy of formation from the pure elements is -0.54 eV per atom.

Record 8
## AcTbSm2Bi4 (PBE)

Data for a relaxed AcTbSm2Bi4 crystal.

```
data_AcTbSm2Bi4
_symmetry_space_group_name_H-M 'P 1'
_symmetry_Int_Tables_number 1
_cell_length_a 4.6310
_cell_length_b 8.0192
_cell_length_c 8.0119
_cell_angle_alpha 70.58
_cell_angle_beta 90.00
_cell_angle_gamma 90.00
loop_
_symmetry_equiv_pos_as_xyz
'x,y,z'
loop_
_atom_site_label
_atom_site_type_symbol
_atom_site_fract_x
_atom_site_fract_y
_atom_site_fract_z
Bi1 Bi 0.0000 0.7604 0.7366
Bi2 Bi 0.5000 0.2471 0.7413
Bi3 Bi 0.5000 0.7529 0.2587
Bi4 Bi 0.0000 0.2396 0.2634
Sm1 Sm 0.0000 0.0000 0.0000
Sm2 Sm 0.5000 0.0000 0.5000
Tb1 Tb 0.0000 0.5000 0.5000
Ac1 Ac 0.5000 0.5000 0.0000
```

## Properties
The calculation puts the final energy at -5.121 eV/atom. The value obtained for the density of states at the Fermi level is 0.133 states/eV/atom. For the total moment, the calculation gives 0.0 μB per formula unit. Its energy of formation from the pure elements is -0.91 eV per atom.

Record 9
## Ac2Sm2Bi3Te2 (PBE)

Data for a relaxed Ac2Sm2Bi3Te2 crystal.

```
data_Ac2Sm2Bi3Te2
_symmetry_space_group_name_H-M 'P 1'
_symmetry_Int_Tables_number 1
_cell_length_a 6.3157
_cell_length_b 6.3157
_cell_length_c 9.5938
_cell_angle_alpha 109.22
_cell_angle_beta 109.22
_cell_angle_gamma 90.00
loop_
_symmetry_equiv_pos_as_xyz
'x,y,z'
loop_
_atom_site_label
_atom_site_type_symbol
_atom_site_fract_x
_atom_site_fract_y
_atom_site_fract_z
Sm1 Sm 0.5000 0.0000 0.0000
Sm2 Sm 0.0000 0.5000 0.0000
Ac1 Ac 0.2009 0.2009 0.4018
Ac2 Ac 0.7991 0.7991 0.5982
Bi1 Bi 0.0000 0.0000 0.0000
Bi2 Bi 0.2500 0.7500 0.5000
Bi3 Bi 0.7500 0.2500 0.5000
Te1 Te 0.5970 0.5970 0.1939
Te2 Te 0.4030 0.4030 0.8061
```

## Properties
The calculation puts the final energy at -4.678 eV/atom. Its uncorrected formation energy is -724 meV per atom. The value obtained for the density of states at the Fermi level is 0.711 states/eV/atom. For the total moment, the calculation gives 0.0 μB per formula unit.

Record 10
## Ac2SmBi2Te2 (PBE)

Data for a relaxed Ac2SmBi2Te2 crystal.

```
data_Ac2SmBi2Te2
_symmetry_space_group_name_H-M 'P 1'
_symmetry_Int_Tables_number 1
_cell_length_a 5.9421
_cell_length_b 5.9421
_cell_length_c 9.3179
_cell_angle_alpha 108.59
_cell_angle_beta 108.59
_cell_angle_gamma 90.00
loop_
_symmetry_equiv_pos_as_xyz
'x,y,z'
loop_
_atom_site_label
_atom_site_type_symbol
_atom_site_fract_x
_atom_site_fract_y
_atom_site_fract_z
Sm1 Sm 0.0000 0.0000 0.0000
Te1 Te 0.1857 0.1857 0.3715
Te2 Te 0.8143 0.8143 0.6285
Bi1 Bi 0.5000 0.0000 0.0000
Bi2 Bi 0.0000 0.5000 0.0000
Ac1 Ac 0.3758 0.3758 0.7517
Ac2 Ac 0.6242 0.6242 0.2483
```

## Properties
The calculation puts the final energy at -4.660 eV/atom. Its uncorrected formation energy is -806 meV per atom. The value obtained for the density of states at the Fermi level is 0.692 states/eV/atom. For the total moment, the calculation gives 0.0 μB per formula unit.

Record 11
## AcSm2ThBi4 (PBE)

Data for a relaxed AcSm2ThBi4 crystal.

```
data_AcSm2ThBi4
_symmetry_space_group_name_H-M 'P 1'
_symmetry_Int_Tables_number 1
_cell_length_a 4.6490
_cell_length_b 8.0162
_cell_length_c 8.0671
_cell_angle_alpha 70.54
_cell_angle_beta 90.00
_cell_angle_gamma 90.00
loop_
_symmetry_equiv_pos_as_xyz
'x,y,z'
loop_
_atom_site_label
_atom_site_type_symbol
_atom_site_fract_x
_atom_site_fract_y
_atom_site_fract_z
Bi1 Bi 0.0000 0.2384 0.2621
Bi2 Bi 0.0000 0.7616 0.7379
Bi3 Bi 0.5000 0.7567 0.2551
Bi4 Bi 0.5000 0.2433 0.7449
Ac1 Ac 0.5000 0.5000 0.0000
Th1 Th 0.0000 0.5000 0.5000
Sm1 Sm 0.5000 0.0000 0.5000
Sm2 Sm 0.0000 0.0000 0.0000
```

## Properties
The calculation puts the final energy at -5.416 eV/atom. The value obtained for the density of states at the Fermi level is 0.222 states/eV/atom. For the total moment, the calculation gives 0.0 μB per formula unit. Its energy of formation from the pure elements is -0.85 eV per atom.